Pm6Pr3Dy2 | GGA-PBE | relaxed

The structure in POSCAR format:
```
Pm6Pr3Dy2
1.0
3.639 0.000 0.223
1.813 3.156 0.223
-0.188 -0.109 32.842
Pm Pr Dy
6 3 2
Cartesian
4.897 2.834 9.497 Pm
0.367 0.212 23.791 Pm
4.358 2.522 18.288 Pm
0.906 0.525 15.000 Pm
3.450 1.997 3.310 Pm
1.814 1.050 29.978 Pm
0.000 0.000 0.000 Pr
3.816 2.209 27.119 Pr
1.448 0.838 6.170 Pr
2.902 1.680 12.246 Dy
2.362 1.367 21.042 Dy
```

Magnetization in μB per cell: 0.000
Total energy in eV per atom: -4.718
V in Å³ per cell: 377.34
SG: R-3m, No. 166
DOS(E_F) in states/eV per atom: 1.35



Pm12Pr5Dy | GGA-PBE | relaxed

The structure in POSCAR format:
```
Pm12Pr5Dy
1.0
-2.995 5.090 -10.468
5.109 -1.672 -9.175
-3.611 -4.548 -1.186
Pm Pr Dy
12 5 1
Cartesian
-4.041 2.018 -8.933 Pm
-2.565 -1.476 -2.721 Pm
-5.543 -0.759 -8.479 Pm
-1.063 1.302 -3.174 Pm
-1.295 -3.892 -10.556 Pm
3.181 -0.987 -6.163 Pm
-4.678 -0.143 -14.665 Pm
-0.203 2.762 -10.272 Pm
-1.424 -0.497 -8.856 Pm
-1.053 0.855 -15.205 Pm
-0.445 -1.985 -5.624 Pm
-0.073 -0.632 -11.972 Pm
-3.303 0.271 -5.827 Pr
1.506 -2.799 -8.696 Pr
-3.003 1.669 -12.133 Pr
1.783 2.040 -13.318 Pr
0.331 1.378 -6.325 Pr
0.000 0.000 0.000 Dy
```

Magnetization in μB per cell: 0.000
Total energy in eV per atom: -4.670
V in Å³ per cell: 624.93
SG: C2/m, No. 12
DOS(E_F) in states/eV per atom: 1.56



PmPr6Dy6 | GGA-PBE | relaxed

The structure in POSCAR format:
```
PmPr6Dy6
1.0
-1.711 -6.320 -1.401
6.408 1.504 -0.939
2.265 -2.983 10.687
Pm Pr Dy
1 6 6
Cartesian
0.000 0.000 0.000 Pm
1.515 -1.995 7.148 Pr
0.750 -0.988 3.538 Pr
3.633 -1.457 -1.177 Pr
1.064 -3.359 -1.163 Pr
5.307 -2.061 4.300 Pr
1.656 -5.737 4.048 Pr
4.980 -1.586 7.908 Dy
0.880 -5.444 7.484 Dy
3.937 -4.500 6.324 Dy
-0.325 -3.858 1.802 Dy
3.693 0.107 1.840 Dy
3.025 -3.299 2.023 Dy
```

Magnetization in μB per cell: 0.000
Total energy in eV per atom: -4.485
V in Å³ per cell: 455.03
SG: P2/m, No. 10
DOS(E_F) in states/eV per atom: 1.66



PmPr5Dy5 | GGA-PBE | relaxed

The structure in POSCAR format:
```
PmPr5Dy5
1.0
6.179 0.000 0.000
-3.089 5.351 0.000
0.000 0.000 11.828
Pm Pr Dy
1 5 5
Cartesian
0.000 3.567 0.000 Pm
3.089 1.784 1.835 Pr
3.089 1.784 9.993 Pr
0.000 3.567 3.772 Pr
0.000 3.567 8.057 Pr
0.000 0.000 0.000 Pr
1.544 0.892 5.914 Dy
0.000 0.000 3.148 Dy
3.089 3.568 5.914 Dy
4.635 0.892 5.914 Dy
0.000 0.000 8.680 Dy
```

Magnetization in μB per cell: 0.002
Total energy in eV per atom: -4.420
V in Å³ per cell: 391.09
SG: P-6m2, No. 187
DOS(E_F) in states/eV per atom: 1.93



PmPr3Dy2 | GGA-PBE | relaxed

The structure in POSCAR format:
```
PmPr3Dy2
1.0
-3.603 2.167 -5.023
-9.187 0.814 6.940
7.868 3.989 0.349
Pm Pr Dy
2 6 4
Cartesian
-0.312 3.371 -0.809 Pm
-4.609 3.600 3.074 Pm
-6.580 0.583 4.971 Pr
-2.606 0.231 1.969 Pr
-9.001 1.722 2.927 Pr
3.934 1.994 0.174 Pr
-0.659 2.401 3.645 Pr
-3.788 1.260 -1.011 Pr
-2.285 4.197 6.081 Dy
1.890 4.041 2.028 Dy
-6.812 2.929 0.238 Dy
-2.636 2.773 -3.815 Dy
```

Magnetization in μB per cell: 0.000
Total energy in eV per atom: -4.426
V in Å³ per cell: 440.24
SG: Imma, No. 74
DOS(E_F) in states/eV per atom: 1.54



PmPr5Dy5 | GGA-PBE | relaxed

The structure in POSCAR format:
```
PmPr5Dy5
1.0
-3.213 4.604 2.276
-3.090 -1.491 -9.411
-3.271 -4.468 4.421
Pm Pr Dy
1 5 5
Cartesian
0.000 0.000 0.000 Pm
-4.875 2.525 -3.929 Pr
-6.550 0.236 -1.663 Pr
-1.607 2.302 1.138 Pr
-3.024 -1.591 -1.051 Pr
-4.699 -3.880 1.215 Pr
-3.760 1.813 -0.914 Dy
-4.803 -0.289 1.867 Dy
-1.636 -2.234 2.211 Dy
-4.772 -1.066 -4.581 Dy
-5.815 -3.168 -1.800 Dy
```

Magnetization in μB per cell: 0.400
Total energy in eV per atom: -4.448
V in Å³ per cell: 381.26
SG: C2/m, No. 12
DOS(E_F) in states/eV per atom: 1.63



Pm4Pr8Dy | GGA-PBE | relaxed

The structure in POSCAR format:
```
Pm4Pr8Dy
1.0
10.505 -0.001 -5.668
-6.781 9.823 -0.001
-2.966 -2.047 7.072
Pm Pr Dy
4 8 1
Cartesian
0.000 0.000 0.000 Pm
-6.357 2.864 7.071 Pm
1.862 4.911 -2.834 Pm
5.252 0.000 -2.834 Pm
-0.538 6.881 -0.998 Pr
1.296 0.895 2.401 Pr
2.375 1.639 -1.868 Pr
-3.483 1.213 6.113 Pr
-1.617 6.136 3.272 Pr
-6.882 6.136 6.112 Pr
7.640 1.639 -4.709 Pr
4.241 6.562 -4.709 Pr
-4.874 3.888 3.536 Dy
```

Magnetization in μB per cell: 0.000
Total energy in eV per atom: -4.364
V in Å³ per cell: 485.87
SG: R-3m, No. 166
DOS(E_F) in states/eV per atom: 2.13



PmPr4Dy3 | GGA-PBE | relaxed

The structure in POSCAR format:
```
PmPr4Dy3
1.0
-0.093 6.892 2.317
-4.330 -1.913 5.516
8.296 -1.861 5.868
Pr Dy Pm
8 6 2
Cartesian
-3.604 5.339 6.789 Pr
-1.391 2.854 2.871 Pr
5.887 3.666 6.474 Pr
3.774 -0.754 8.071 Pr
0.593 0.963 8.561 Pr
2.802 -1.524 4.649 Pr
-0.379 0.177 5.134 Pr
1.744 4.595 3.544 Pr
-1.438 6.297 4.030 Dy
5.936 0.199 5.310 Dy
3.725 2.713 9.236 Dy
0.639 -2.481 7.404 Dy
-0.424 3.644 6.301 Dy
1.789 1.129 2.377 Dy
-3.557 1.895 5.630 Pm
2.756 1.921 5.806 Pm
```

Magnetization in μB per cell: 0.000
Total energy in eV per atom: -4.692
V in Å³ per cell: 546.00
SG: Pmna, No. 53
DOS(E_F) in states/eV per atom: 1.52



Pm2Pr3Dy6 | GGA-PBE | relaxed

The structure in POSCAR format:
```
Pm2Pr3Dy6
1.0
-4.985 -2.591 -2.658
-0.408 -6.198 -0.460
-6.933 -1.291 9.354
Pm Pr Dy
2 3 6
Cartesian
-4.568 -5.212 3.928 Pm
-7.758 -4.867 2.308 Pm
0.000 0.000 0.000 Pr
-1.808 -2.906 -1.044 Pr
-3.585 -5.883 -2.075 Pr
-7.536 -6.181 5.575 Dy
-8.926 -2.909 5.002 Dy
-5.740 -3.247 6.614 Dy
-2.992 -0.972 1.694 Dy
-4.790 -3.898 0.661 Dy
-6.586 -6.832 -0.378 Dy
```

Magnetization in μB per cell: 0.000
Total energy in eV per atom: -4.487
V in Å³ per cell: 386.60
SG: C2/m, No. 12
DOS(E_F) in states/eV per atom: 1.51



Pm12Pr2Dy | GGA-PBE | relaxed

The structure in POSCAR format:
```
Pm12Pr2Dy
1.0
6.575 0.000 0.000
0.000 6.575 0.000
0.000 0.000 25.448
Pm Pr Dy
24 4 2
Cartesian
3.288 3.288 19.995 Pm
0.000 0.000 19.995 Pm
5.352 4.511 22.567 Pm
2.064 5.352 22.567 Pm
0.000 0.000 8.603 Pm
1.223 4.511 2.881 Pm
5.474 2.187 14.295 Pm
3.288 3.288 8.603 Pm
1.223 2.064 22.567 Pm
4.511 5.352 2.881 Pm
2.187 1.101 14.295 Pm
4.388 1.101 11.153 Pm
0.000 0.000 16.845 Pm
1.101 2.187 11.153 Pm
2.064 1.223 2.881 Pm
5.474 4.388 11.153 Pm
4.388 5.474 14.295 Pm
0.000 0.000 5.453 Pm
1.101 4.388 14.295 Pm
3.288 3.288 16.845 Pm
4.511 1.223 22.567 Pm
3.288 3.288 5.453 Pm
2.187 5.474 11.153 Pm
5.352 2.064 2.881 Pm
3.288 0.000 6.792 Pr
0.000 3.288 6.792 Pr
0.000 3.288 18.656 Pr
3.288 0.000 18.656 Pr
3.288 0.000 0.000 Dy
0.000 3.288 0.000 Dy
```

Magnetization in μB per cell: 0.000
Total energy in eV per atom: -4.437
V in Å³ per cell: 1100.18
SG: P4/nbm, No. 125
DOS(E_F) in states/eV per atom: 1.36



Pm14PrDy | GGA-PBE | relaxed

The structure in POSCAR format:
```
Pm14PrDy
1.0
-7.037 2.176 0.245
1.942 -6.524 2.825
1.943 5.106 10.456
Pm Pr Dy
14 1 1
Cartesian
-3.072 1.829 6.333 Pm
1.417 -2.521 7.623 Pm
-0.517 -1.811 0.980 Pm
0.444 0.741 6.211 Pm
-3.075 -3.993 2.521 Pm
-2.102 -1.431 7.745 Pm
-0.563 3.471 8.402 Pm
-1.538 0.911 3.159 Pm
-3.111 1.297 9.937 Pm
-4.085 -1.263 4.694 Pm
-4.086 4.551 8.505 Pm
-5.054 2.009 3.301 Pm
0.409 0.214 9.823 Pm
-0.568 -2.355 4.563 Pm
-4.048 -0.720 1.104 Pr
0.448 -5.076 2.396 Dy
```

Magnetization in μB per cell: 0.000
Total energy in eV per atom: -4.711
V in Å³ per cell: 554.80
SG: Amm2, No. 38
DOS(E_F) in states/eV per atom: 1.85



Pm3Pr2Dy8 | GGA-PBE | relaxed

The structure in POSCAR format:
```
Pm3Pr2Dy8
1.0
-5.582 0.520 0.304
-0.419 -6.707 3.768
1.165 8.360 7.121
Pm Pr Dy
3 2 8
Cartesian
-2.791 0.260 0.152 Pm
-0.122 -1.959 1.102 Pm
0.868 3.612 9.787 Pm
-2.331 2.679 4.493 Pr
-2.506 -0.507 6.699 Pr
-5.479 -1.201 5.136 Dy
0.642 3.373 6.056 Dy
0.248 1.302 2.340 Dy
-5.085 0.871 8.852 Dy
-2.129 2.783 8.025 Dy
-1.952 5.612 6.435 Dy
-2.885 -3.439 4.757 Dy
-2.708 -0.610 3.167 Dy
```

Magnetization in μB per cell: 0.000
Total energy in eV per atom: -4.420
V in Å³ per cell: 447.60
SG: P2/m, No. 10
DOS(E_F) in states/eV per atom: 1.78



Pm2PrDy12 | GGA-PBE | relaxed

The structure in POSCAR format:
```
Pm2PrDy12
1.0
6.360 1.488 -0.699
1.465 6.405 0.044
-2.726 0.845 25.346
Pm Pr Dy
4 2 24
Cartesian
2.736 1.747 6.466 Pm
0.292 4.206 6.836 Pm
4.810 4.532 17.853 Pm
2.360 6.990 18.227 Pm
4.535 7.037 -0.293 Pr
-1.883 4.159 25.357 Pr
1.818 3.729 19.866 Dy
-0.630 6.192 20.221 Dy
3.975 5.647 21.347 Dy
0.976 4.848 23.168 Dy
-0.258 0.948 8.423 Dy
1.675 6.349 1.895 Dy
2.298 2.721 13.311 Dy
3.662 4.897 8.113 Dy
0.060 1.697 21.681 Dy
5.037 7.037 3.017 Dy
-0.710 1.927 15.088 Dy
5.249 3.558 11.009 Dy
5.350 7.787 16.251 Dy
1.896 2.864 9.930 Dy
1.126 3.094 3.338 Dy
5.818 6.816 9.609 Dy
3.193 5.868 14.755 Dy
5.729 2.550 4.454 Dy
-0.154 5.177 13.686 Dy
1.444 3.843 16.596 Dy
3.407 2.404 22.801 Dy
3.281 5.005 4.842 Dy
2.805 6.020 11.377 Dy
4.139 3.875 1.519 Dy
```

Magnetization in μB per cell: 0.000
Total energy in eV per atom: -4.579
V in Å³ per cell: 963.79
SG: P-1, No. 2
DOS(E_F) in states/eV per atom: 1.57



Pm5PrDy6 | GGA-PBE | relaxed

The structure in POSCAR format:
```
Pm5PrDy6
1.0
4.902 0.020 -1.429
-1.387 8.902 -4.637
0.112 -0.807 9.490
Pr Dy Pm
1 6 5
Cartesian
0.000 0.000 0.000 Pr
3.350 4.666 2.430 Dy
4.042 0.223 4.744 Dy
1.524 5.872 5.301 Dy
2.103 2.243 -1.878 Dy
-0.415 7.892 -1.321 Dy
0.277 3.449 0.994 Dy
3.076 1.232 1.444 Pm
1.247 2.436 4.305 Pm
-0.693 4.451 -2.318 Pm
2.381 5.679 -0.881 Pm
0.551 6.883 1.979 Pm
```

Magnetization in μB per cell: 0.000
Total energy in eV per atom: -4.663
V in Å³ per cell: 395.85
SG: Immm, No. 71
DOS(E_F) in states/eV per atom: 1.30



Pm4Pr4Dy5 | GGA-PBE | relaxed

The structure in POSCAR format:
```
Pm4Pr4Dy5
1.0
-1.037 4.062 -2.927
-8.619 -1.778 -3.881
-4.620 6.179 5.744
Pm Pr Dy
4 4 5
Cartesian
-4.433 2.927 -3.301 Pm
-9.843 5.536 2.236 Pm
-10.602 4.153 -3.881 Pm
-3.673 4.310 2.816 Pm
-8.152 7.221 -0.491 Pr
-5.393 4.820 -0.333 Pr
-6.124 1.242 -0.574 Pr
-8.882 3.643 -0.732 Pr
-11.605 6.061 -0.878 Dy
-2.671 2.402 -0.187 Dy
0.000 0.000 0.000 Dy
-7.910 1.744 -3.710 Dy
-6.365 6.719 2.646 Dy
```

Magnetization in μB per cell: 0.000
Total energy in eV per atom: -4.686
V in Å³ per cell: 439.67
SG: I4/m, No. 87
DOS(E_F) in states/eV per atom: 1.45



Pm3Pr3Dy4 | GGA-PBE | relaxed

The structure in POSCAR format:
```
Pm3Pr3Dy4
1.0
3.706 0.000 0.000
0.000 9.651 -0.048
0.000 0.037 9.651
Pm Pr Dy
3 3 4
Cartesian
0.000 4.847 9.624 Pm
0.000 0.022 4.841 Pm
1.853 1.718 7.956 Pm
1.853 7.975 1.643 Pr
1.853 3.145 3.126 Pr
1.853 6.535 6.486 Pr
0.000 6.029 3.606 Dy
0.000 3.648 6.008 Dy
0.000 8.510 8.409 Dy
0.000 1.205 1.168 Dy
```

Magnetization in μB per cell: 0.004
Total energy in eV per atom: -4.604
V in Å³ per cell: 345.23
SG: Amm2, No. 38
DOS(E_F) in states/eV per atom: 0.98



Pm8Pr2Dy | GGA-PBE | relaxed

The structure in POSCAR format:
```
Pm8Pr2Dy
1.0
5.730 -0.480 -0.335
0.345 9.931 2.592
0.345 5.852 8.433
Pm Pr Dy
8 2 1
Cartesian
1.799 4.792 5.401 Pm
1.799 6.720 2.640 Pm
4.621 10.512 5.289 Pm
1.719 8.486 5.928 Pm
4.621 8.583 8.049 Pm
1.437 2.812 1.964 Pm
4.983 12.491 8.725 Pm
4.701 6.817 4.762 Pm
4.447 4.120 2.878 Pr
1.973 11.184 7.812 Pr
0.000 0.000 0.000 Dy
```

Magnetization in μB per cell: 0.000
Total energy in eV per atom: -4.578
V in Å³ per cell: 394.39
SG: C2/m, No. 12
DOS(E_F) in states/eV per atom: 1.50



Pm2PrDy | GGA-PBE | relaxed

The structure in POSCAR format:
```
Pm2PrDy
1.0
-0.878 2.253 4.553
-4.831 1.011 -1.431
-1.518 -4.510 1.939
Pr Pm Dy
1 2 1
Cartesian
-0.439 1.127 2.277 Pr
-0.759 -2.255 0.970 Pm
-2.415 0.505 -0.716 Pm
-3.613 -0.623 2.530 Dy
```

Magnetization in μB per cell: 0.000
Total energy in eV per atom: -4.704
V in Å³ per cell: 136.14
SG: P4/mmm, No. 123
DOS(E_F) in states/eV per atom: 1.63



Pm5Pr4Dy4 | GGA-PBE | relaxed

The structure in POSCAR format:
```
Pm5Pr4Dy4
1.0
4.970 0.000 1.264
2.485 9.292 0.632
0.195 0.000 9.638
Pm Pr Dy
5 4 4
Cartesian
5.694 7.893 8.822 Pm
1.956 1.400 2.711 Pm
0.000 0.000 0.000 Pm
4.625 7.147 2.620 Pm
3.025 2.145 8.913 Pm
5.863 4.273 8.159 Pr
3.917 2.830 5.405 Pr
1.788 5.020 3.374 Pr
3.733 6.463 6.129 Pr
4.794 3.575 1.956 Dy
2.856 5.717 9.578 Dy
6.574 8.579 5.361 Dy
1.076 0.714 6.172 Dy
```

Magnetization in μB per cell: 0.000
Total energy in eV per atom: -4.698
V in Å³ per cell: 442.80
SG: I4/m, No. 87
DOS(E_F) in states/eV per atom: 1.43